{
  "formula": "Tb2LuCd",
  "functional": "PBE-GGA",
  "state": "optimized geometry",
  "cell": [[3.571, 0.000, 0.000], [0.000, 3.571, 0.000], [0.000, 0.000, 9.020]],
  "species": ["Tb", "Tb", "Lu", "Cd"],
  "frac_coords": [[0.000, 0.000, 0.232], [0.000, 0.000, 0.768], [0.500, 0.500, 0.500], [0.500, 0.500, 0.000]],
  "dos_at_fermi_per_ev_atom": 1.31,
  "formation_enthalpy_0k_ev_per_fu": -0.54
}

{
  "formula": "Ba4NaH10",
  "functional": "PBE-GGA",
  "state": "optimized geometry",
  "cell": [[2.217, 1.280, 16.279], [-2.217, 1.280, 16.279], [0.000, -2.559, 16.279]],
  "species": ["Ba", "Ba", "Ba", "Ba", "Na", "H", "H", "H", "H", "H", "H", "H", "H", "H", "H"],
  "frac_coords": [[0.114, 0.114, 0.114], [0.295, 0.295, 0.295], [0.705, 0.705, 0.705], [0.886, 0.886, 0.886], [0.500, 0.500, 0.500], [0.057, 0.057, 0.057], [0.175, 0.175, 0.175], [0.241, 0.241, 0.241], [0.352, 0.352, 0.352], [0.456, 0.456, 0.456], [0.544, 0.544, 0.544], [0.648, 0.648, 0.648], [0.759, 0.759, 0.759], [0.825, 0.825, 0.825], [0.943, 0.943, 0.943]],
  "dos_at_fermi_per_ev_atom": 0.13,
  "total_energy_ev_per_fu": -46.847
}

{
  "formula": "Ho5Tl2HS",
  "functional": "PBE-GGA",
  "state": "optimized geometry",
  "cell": [[2.054, -8.778, 0.000], [2.054, 8.778, 0.000], [0.000, 0.000, 12.220]],
  "species": ["Ho", "Ho", "Ho", "Ho", "Ho", "Ho", "Ho", "Ho", "Ho", "Ho", "Tl", "Tl", "Tl", "Tl", "H", "H", "S", "S"],
  "frac_coords": [[0.002, 0.998, 0.500], [0.144, 0.856, 0.255], [0.193, 0.807, 0.904], [0.195, 0.805, 0.611], [0.458, 0.542, 0.244], [0.542, 0.458, 0.744], [0.805, 0.195, 0.111], [0.807, 0.193, 0.404], [0.856, 0.144, 0.755], [0.998, 0.002, 0.000], [0.373, 0.627, 0.942], [0.379, 0.621, 0.567], [0.621, 0.379, 0.067], [0.627, 0.373, 0.442], [0.070, 0.930, 0.656], [0.930, 0.070, 0.156], [0.299, 0.701, 0.257], [0.701, 0.299, 0.757]],
  "dos_at_fermi_per_ev_atom": 0.78,
  "total_energy_ev_per_fu": -41.500
}

{
  "formula": "Ce3Mg2Zn3",
  "functional": "PBE-GGA",
  "state": "optimized geometry",
  "cell": [[-2.246, 2.261, 8.735], [2.246, -2.261, 8.735], [2.246, 2.261, -8.735]],
  "species": ["Ce", "Ce", "Ce", "Mg", "Mg", "Zn", "Zn", "Zn"],
  "frac_coords": [[0.000, 0.000, 0.000], [0.112, 0.612, 0.500], [0.888, 0.388, 0.500], [0.248, 0.248, 0.000], [0.752, 0.752, 0.000], [0.360, 0.860, 0.500], [0.500, 0.500, 0.000], [0.640, 0.140, 0.500]],
  "dos_at_fermi_per_ev_atom": 1.83,
  "formation_enthalpy_0k_ev_per_fu": -0.84
}

- Number 2 is which compound?
  Ba4NaH10